The following is a GGA-PBE calculation of an optimized crystal structure of As2AuCl2, from Alexandria via LeMat-Bulk.

Cell and atoms, written as extended XYZ:
```
10
Lattice="-2.629 5.132 3.488 -0.459 -3.938 5.449 4.600 1.404 1.402" Properties=species:S:1:pos:R:3 pbc="T T T"
Cl 0.447 3.476 4.004
Cl 1.692 0.315 3.083
Cl -0.180 2.282 7.255
Cl 1.065 -0.879 6.335
As -2.559 1.911 6.483
As -1.348 -1.537 5.959
As -0.529 -0.718 2.454
As -1.741 2.730 2.977
Au 0.000 0.000 0.000
Au -1.544 0.597 4.468
```

SG: No. 127
energy above the lowest structure with this stoichiometry: 0.0 kJ/mol of formula units
E_form (uncorrected): -19.13 kJ/mol of atoms
V: 22.75 A^3/atom
E: -3.452 eV per atom